1.
Entry from Alexandria: a relaxed structure of ThInHg (PBE-GGA).

Computed properties:
The symmetry is No. 216. For the energy, the calculation gives -3.609 eV/atom. As for the crystal system: cubic.

Cell lengths 5.0043, 5.0043, 5.0043 Å; angles 60.00, 60.00, 60.00 degrees
Closest atoms and distances in Å follow each position.
Positions (direct):
Th: 0.5000 0.5000 0.5000  4 Hg 3.06
Hg: 0.2500 0.2500 0.2500  4 In 3.06, 4 Th 3.06
In: 0.0000 0.0000 0.0000  4 Hg 3.06

=====

2.
Entry from Alexandria: a relaxed structure of ThInHg4 (PBE-GGA).

Computed properties:
The symmetry is No. 65. The offset from the most stable computed form is 0 meV per atom. For the energy, the calculation gives -2.060 eV/atom. As for the crystal system: orthorhombic.

Cell lengths 4.7711, 4.8706, 6.9461 Å; angles 90.00, 110.09, 90.00 degrees
Closest atoms and distances in Å follow each position.
Positions (direct):
Hg: 0.6743 0.0000 0.3486  8 Hg 3.10-3.41, 2 Th 3.30, 2 In 3.33
Hg: 0.3257 0.0000 0.6514  8 Hg 3.10-3.41, 2 Th 3.30, 2 In 3.33
Hg: 0.8325 0.5000 0.6651  8 Hg 3.19-3.41, 2 In 3.24, 2 Th 3.27
Hg: 0.1675 0.5000 0.3349  8 Hg 3.19-3.41, 2 In 3.24, 2 Th 3.27
Th: 0.0000 0.0000 0.0000  8 Hg 3.27-3.30, 4 In 3.41
In: 0.5000 0.5000 0.0000  8 Hg 3.24-3.33, 4 Th 3.41

=====

3.
Entry from Alexandria: a relaxed structure of ThInHg3 (PBE-GGA).

Computed properties:
The symmetry is No. 59. For the energy, the calculation gives -2.305 eV/atom. As for the crystal system: orthorhombic.

Cell lengths 4.7217, 7.2755, 7.6094 Å; angles 90.00, 90.00, 90.00 degrees
Closest atoms and distances in Å follow each position.
Positions (direct):
Hg: 0.5000 0.7937 0.7329  3 In 2.92-3.20, 3 Hg 3.00-3.12, 2 Th 3.25
Hg: 0.0000 0.2937 0.2671  3 In 2.92-3.20, 3 Hg 3.00-3.12, 2 Th 3.25
Hg: 0.5000 0.2063 0.7329  3 In 2.92-3.20, 3 Hg 3.00-3.12, 2 Th 3.25
Hg: 0.0000 0.7063 0.2671  3 In 2.92-3.20, 3 Hg 3.00-3.12, 2 Th 3.25
Hg: 0.5000 0.5000 0.0864  1 In 2.93, 4 Hg 3.12, 2 Th 3.12
Hg: 0.0000 0.0000 0.9136  1 In 2.93, 4 Hg 3.12, 2 Th 3.12
Th: 0.5000 0.0000 0.1813  6 Hg 3.12-3.25
Th: 0.0000 0.5000 0.8187  6 Hg 3.12-3.25
In: 0.0000 0.0000 0.5289  7 Hg 2.92-3.20
In: 0.5000 0.5000 0.4711  7 Hg 2.92-3.20

=====

Number 1: total magnetization 0.000 μB per cell. Number 2: total magnetization 0.000 μB per cell. Number 3: total magnetization 0.000 μB per cell.